## Ce5GeRh2 (PBE)

Data for crystalline Ce5GeRh2 at its relaxed geometry.

Calculated formation energy = -0.4282 eV/atom
Crystal system = orthorhombic
Total magnetization = 0.55 μB/f.u.
Energy above the lowest structure with this stoichiometry = 0.141 eV per atom

Unit cell a=5.8132 b=5.3560 c=15.2200 alpha=90.00 beta=90.00 gamma=122.87
Closest atoms and distances in Å follow each position.
Positions (direct):
Ce: 0.9400 0.8800 0.9161  2 Ce 2.77-2.95, 1 Rh 2.94, 1 Ge 2.96
Ce: 0.9400 0.8800 0.5839  2 Ce 2.77-2.95, 1 Rh 2.94, 1 Ge 2.96
Ce: 0.3876 0.7753 0.4172  1 Rh 2.77, 1 Ge 2.91, 1 Ce 2.95
Ce: 0.3876 0.7753 0.0828  1 Rh 2.77, 1 Ge 2.91, 1 Ce 2.95
Ce: 0.7286 0.4573 0.2500  2 Rh 2.52
Ce: 0.2714 0.5427 0.7500  2 Rh 2.52
Ce: 0.6123 0.2247 0.5828  1 Rh 2.77, 1 Ge 2.91, 1 Ce 2.95
Ce: 0.6123 0.2247 0.9172  1 Rh 2.77, 1 Ge 2.91, 1 Ce 2.95
Ce: 0.0600 0.1200 0.0839  2 Ce 2.77-2.95, 1 Rh 2.94, 1 Ge 2.96
Ce: 0.0600 0.1200 0.4161  2 Ce 2.77-2.95, 1 Rh 2.94, 1 Ge 2.96
Ge: 0.7696 0.5391 0.7500  6 Ce 2.91-2.96
Ge: 0.2304 0.4609 0.2500  6 Ce 2.91-2.96
Rh: 0.7332 0.4664 0.4155  2 Ce 2.52-2.77
Rh: 0.7332 0.4664 0.0845  2 Ce 2.52-2.77
Rh: 0.2668 0.5336 0.5845  2 Ce 2.52-2.77
Rh: 0.2668 0.5336 0.9155  2 Ce 2.52-2.77